Mg2PaN3 | GGA-PBE | optimized geometry

The structure in POSCAR format:
```
Mg2PaN3
1.0
6.570 0.000 0.000
0.000 4.723 0.000
0.000 0.000 9.795
Mg Pa N
8 4 12
direct
0.099 0.250 0.249 Mg
0.130 0.250 0.919 Mg
0.370 0.750 0.419 Mg
0.401 0.750 0.749 Mg
0.599 0.250 0.251 Mg
0.630 0.250 0.581 Mg
0.870 0.750 0.081 Mg
0.901 0.750 0.751 Mg
0.151 0.250 0.588 Pa
0.349 0.750 0.088 Pa
0.651 0.250 0.912 Pa
0.849 0.750 0.412 Pa
0.097 0.750 0.251 N
0.121 0.750 0.577 N
0.135 0.750 0.922 N
0.365 0.250 0.422 N
0.379 0.250 0.077 N
0.403 0.250 0.751 N
0.597 0.750 0.249 N
0.621 0.750 0.923 N
0.635 0.750 0.578 N
0.865 0.250 0.078 N
0.879 0.250 0.423 N
0.903 0.250 0.749 N
```

Computed properties:
total magnetization	0.000	μB per cell
total energy	-0.275	hartree per atom



Ho5ZnBi4 | GGA-PBE | optimized geometry

The structure in POSCAR format:
```
Ho5ZnBi4
1.0
-4.929 4.929 3.119
4.929 -4.929 3.119
4.929 4.929 -3.119
Ho Zn Bi
5 1 4
direct
0.000 0.000 0.000 Ho
0.206 0.399 0.602 Ho
0.399 0.797 0.193 Ho
0.604 0.206 0.807 Ho
0.797 0.604 0.398 Ho
0.500 0.500 0.000 Zn
0.098 0.700 0.795 Bi
0.303 0.098 0.398 Bi
0.700 0.905 0.602 Bi
0.905 0.303 0.205 Bi
```

Computed properties:
total magnetization	0.002	μB per cell
calculated formation energy	-59	kJ per mole of atoms



Pm8Dy6In | GGA-PBE | optimized geometry

The structure in POSCAR format:
```
Pm8Dy6In
1.0
9.327 0.000 0.000
-4.663 8.077 0.000
0.000 0.000 6.548
Pm Dy In
8 6 1
direct
0.041 0.769 0.179 Pm
0.231 0.272 0.179 Pm
0.272 0.041 0.821 Pm
0.333 0.667 0.143 Pm
0.667 0.333 0.857 Pm
0.728 0.959 0.179 Pm
0.769 0.728 0.821 Pm
0.959 0.231 0.821 Pm
0.096 0.650 0.665 Dy
0.350 0.446 0.665 Dy
0.446 0.096 0.335 Dy
0.554 0.904 0.665 Dy
0.650 0.554 0.335 Dy
0.904 0.350 0.335 Dy
0.000 0.000 0.500 In
```

Computed properties:
total magnetization	0.000	μB per cell
calculated formation energy	7	kJ per mole of atoms



La2TbSm8 | GGA-PBE | optimized geometry

The structure in POSCAR format:
```
La2TbSm8
1.0
9.291 -2.580 0.000
9.291 2.580 0.000
-2.150 0.000 7.868
La Tb Sm
2 1 8
direct
0.227 0.227 0.137 La
0.773 0.773 0.863 La
0.500 0.500 0.500 Tb
0.044 0.044 0.228 Sm
0.135 0.135 0.677 Sm
0.319 0.319 0.592 Sm
0.411 0.411 0.048 Sm
0.589 0.589 0.952 Sm
0.681 0.681 0.408 Sm
0.865 0.865 0.323 Sm
0.956 0.956 0.772 Sm
```

Computed properties:
energy above the most stable polymorph in this dataset	0	meV per atom
total magnetization	0.000	μB per cell
calculated formation energy	2	kJ per mole of atoms



ScMnTe2 | GGA-PBE | optimized geometry

The structure in POSCAR format:
```
ScMnTe2
1.0
2.168 1.251 7.331
-2.168 1.251 7.331
0.000 -2.503 7.331
Sc Mn Te
1 1 2
direct
0.000 0.000 0.000 Sc
0.749 0.749 0.749 Mn
0.266 0.266 0.266 Te
0.443 0.443 0.443 Te
```

Computed properties:
total magnetization	3.900	μB per cell
total energy	-0.213	hartree per atom



Y2HfRh3 | GGA-PBE | optimized geometry

The structure in POSCAR format:
```
Y2HfRh3
1.0
4.752 0.000 0.000
-2.376 4.115 0.000
0.000 0.000 5.922
Y Hf Rh
2 1 3
direct
0.333 0.667 0.166 Y
0.667 0.333 0.834 Y
0.000 0.000 0.500 Hf
0.000 0.000 0.000 Rh
0.333 0.667 0.643 Rh
0.667 0.333 0.357 Rh
```

Computed properties:
total magnetization	0.000	μB per cell
calculated formation energy	-80	kJ per mole of atoms



Y2ScRh | GGA-PBE | optimized geometry

The structure in POSCAR format:
```
Y2ScRh
1.0
-4.161 4.161 3.045
4.161 -4.161 3.045
4.161 4.161 -3.045
Y Sc Rh
4 2 2
direct
0.057 0.625 0.932 Y
0.375 0.307 0.432 Y
0.693 0.125 0.068 Y
0.875 0.943 0.568 Y
0.250 0.750 0.500 Sc
0.500 0.500 0.000 Sc
0.000 0.000 0.000 Rh
0.750 0.250 0.500 Rh
```

Computed properties:
energy above the most stable polymorph in this dataset	306	meV per atom
total magnetization	0.000	μB per cell
calculated formation energy	-15	kJ per mole of atoms



Ba2H3I | GGA-PBE | optimized geometry

The structure in POSCAR format:
```
Ba2H3I
1.0
4.515 0.000 0.000
-2.258 3.910 0.000
0.000 0.000 8.127
Ba H I
2 3 1
direct
0.333 0.667 0.315 Ba
0.667 0.333 0.685 Ba
0.000 0.000 0.500 H
0.333 0.667 0.642 H
0.667 0.333 0.358 H
0.000 0.000 0.000 I
```

Computed properties:
total magnetization	0.000	μB per cell
total energy	-0.127	hartree per atom



CuRu2Br | GGA-PBE | optimized geometry

The structure in POSCAR format:
```
CuRu2Br
1.0
2.908 0.000 0.000
0.000 4.298 0.000
-1.112 0.000 5.139
Cu Ru Br
1 2 1
direct
0.000 0.000 0.000 Cu
0.358 0.500 0.211 Ru
0.642 0.500 0.789 Ru
0.500 0.000 0.500 Br
```

Computed properties:
energy above the most stable polymorph in this dataset	362	meV per atom
total magnetization	0.001	μB per cell



Ac2Zn3Pd4 | GGA-PBE | optimized geometry

The structure in POSCAR format:
```
Ac2Zn3Pd4
1.0
2.900 -8.115 0.000
2.900 8.115 0.000
0.000 0.000 7.771
Ac Zn Pd
4 6 8
direct
0.114 0.886 0.921 Ac
0.386 0.614 0.421 Ac
0.614 0.386 0.579 Ac
0.886 0.114 0.079 Ac
0.000 0.000 0.500 Zn
0.025 0.475 0.750 Zn
0.475 0.025 0.250 Zn
0.500 0.500 0.000 Zn
0.525 0.975 0.750 Zn
0.975 0.525 0.250 Zn
0.180 0.820 0.520 Pd
0.188 0.312 0.750 Pd
0.312 0.188 0.250 Pd
0.320 0.680 0.020 Pd
0.680 0.320 0.980 Pd
0.688 0.812 0.750 Pd
0.812 0.688 0.250 Pd
0.820 0.180 0.480 Pd
```

Computed properties:
total magnetization	0.000	μB per cell
calculated formation energy	-65	kJ per mole of atoms



CuTeIN2 | GGA-PBE | optimized geometry

The structure in POSCAR format:
```
CuTeIN2
1.0
3.925 0.000 0.000
0.000 3.925 0.000
0.000 0.000 7.039
Cu Te I N
1 1 1 2
direct
0.000 0.000 0.000 Cu
0.500 0.500 0.000 Te
0.500 0.500 0.500 I
0.000 0.500 0.500 N
0.500 0.000 0.500 N
```

Computed properties:
energy above the most stable polymorph in this dataset	428	meV per atom
total magnetization	0.000	μB per cell



ScCl2 | GGA-PBE | optimized geometry

The structure in POSCAR format:
```
ScCl2
1.0
6.698 0.000 0.000
-3.349 5.801 0.000
0.000 0.000 13.565
Sc Cl
4 8
direct
0.333 0.667 0.151 Sc
0.333 0.667 0.349 Sc
0.667 0.333 0.651 Sc
0.667 0.333 0.849 Sc
0.000 0.000 0.000 Cl
0.000 0.000 0.500 Cl
0.160 0.320 0.250 Cl
0.160 0.840 0.250 Cl
0.320 0.160 0.750 Cl
0.680 0.840 0.250 Cl
0.840 0.160 0.750 Cl
0.840 0.680 0.750 Cl
```

Computed properties:
total magnetization	0.000	μB per cell
total energy	-0.163	hartree per atom



SrEr2CuO5 | GGA-PBE | optimized geometry

The structure in POSCAR format:
```
SrEr2CuO5
1.0
-3.206 3.206 5.694
3.206 -3.206 5.694
3.206 3.206 -5.694
Sr Er Cu O
2 4 2 10
direct
0.250 0.250 0.000 Sr
0.750 0.750 0.000 Sr
0.172 0.672 0.844 Er
0.328 0.172 0.500 Er
0.672 0.828 0.500 Er
0.828 0.328 0.156 Er
0.250 0.750 0.500 Cu
0.750 0.250 0.500 Cu
0.000 0.000 0.000 O
0.020 0.228 0.500 O
0.228 0.728 0.208 O
0.272 0.480 0.500 O
0.480 0.980 0.208 O
0.500 0.500 0.000 O
0.520 0.020 0.792 O
0.728 0.520 0.500 O
0.772 0.272 0.792 O
0.980 0.772 0.500 O
```

Computed properties:
total magnetization	2.037	μB per cell
total energy	-0.260	hartree per atom



Al2GaCu6 | GGA-PBE | optimized geometry

The structure in POSCAR format:
```
Al2GaCu6
1.0
-2.062 2.455 6.272
2.062 -2.455 6.272
2.062 2.455 -6.272
Al Ga Cu
2 1 6
direct
0.118 0.118 0.000 Al
0.882 0.882 0.000 Al
0.500 0.000 0.500 Ga
0.055 0.304 0.751 Cu
0.241 0.500 0.741 Cu
0.447 0.696 0.751 Cu
0.553 0.304 0.249 Cu
0.759 0.500 0.259 Cu
0.945 0.696 0.249 Cu
```

Computed properties:
total magnetization	0.000	μB per cell
calculated formation energy	2	kJ per mole of atoms



SrTlHg2Pb | GGA-PBE | optimized geometry

The structure in POSCAR format:
```
SrTlHg2Pb
1.0
5.463 0.000 0.000
-2.731 4.731 0.000
0.000 0.000 6.341
Sr Tl Hg Pb
1 1 2 1
direct
0.000 0.000 0.000 Sr
0.333 0.667 0.643 Tl
0.333 0.667 0.167 Hg
0.667 0.333 0.810 Hg
0.667 0.333 0.327 Pb
```

Computed properties:
total magnetization	0.000	μB per cell
calculated formation energy	-19	kJ per mole of atoms



CaPr4Tm2 | GGA-PBE | optimized geometry

The structure in POSCAR format:
```
CaPr4Tm2
1.0
1.827 1.055 21.121
-1.827 1.055 21.121
0.000 -2.109 21.121
Ca Pr Tm
1 4 2
direct
0.000 0.000 0.000 Ca
0.143 0.143 0.143 Pr
0.282 0.282 0.282 Pr
0.718 0.718 0.718 Pr
0.857 0.857 0.857 Pr
0.430 0.430 0.430 Tm
0.570 0.570 0.570 Tm
```

Computed properties:
total magnetization	0.000	μB per cell
calculated formation energy	3	kJ per mole of atoms



VAg2Cl6 | GGA-PBE | optimized geometry

The structure in POSCAR format:
```
VAg2Cl6
1.0
6.092 0.000 0.000
0.000 6.092 0.000
0.000 0.000 11.689
V Ag Cl
2 4 12
direct
0.000 0.000 0.000 V
0.500 0.500 0.500 V
0.000 0.000 0.338 Ag
0.000 0.000 0.662 Ag
0.500 0.500 0.162 Ag
0.500 0.500 0.838 Ag
0.188 0.188 0.147 Cl
0.188 0.188 0.853 Cl
0.232 0.232 0.500 Cl
0.268 0.732 0.000 Cl
0.312 0.688 0.353 Cl
0.312 0.688 0.647 Cl
0.688 0.312 0.353 Cl
0.688 0.312 0.647 Cl
0.732 0.268 0.000 Cl
0.768 0.768 0.500 Cl
0.812 0.812 0.147 Cl
0.812 0.812 0.853 Cl
```

Computed properties:
energy above the most stable polymorph in this dataset	18	meV per atom
total magnetization	1.996	μB per cell